Entry 1:
Be2NiH6: relaxed, GGA-PBE.

Cell lengths 5.714, 5.714, 5.714 Å; angles 90.00, 90.00, 90.00 degrees
Space group Fm-3m (No. 225)
Unique sites:
Be1 0.250 0.250 0.250 x8
Ni1 0.000 0.000 0.000 x4
H1 0.000 0.000 0.279 x24

Calculated values
**Total DFT energy (no corrections)**: -121.12 eV/cell
**Density of states at the Fermi level**: 1.21 states/eV/f.u.

Entry 2:
Ba2CaZrIn: relaxed, GGA-PBE.

Cell lengths 6.359, 6.359, 5.407 Å; angles 90.00, 90.00, 90.00 degrees
Space group P4/mmm (No. 123)
Unique sites:
Ba1 0.000 0.500 0.000 x2
Ca1 0.000 0.000 0.000 x1
Zr1 0.000 0.000 0.500 x1
In1 0.500 0.500 0.500 x1

Calculated values
**ΔH_f (0 K)**: 0.943 eV per atom
**Density of states at the Fermi level**: 8.25 states/eV/f.u.

Entry 3:
U2CuIr: relaxed, GGA-PBE.

Cell lengths 4.153, 4.174, 5.083 Å; angles 113.36, 113.37, 90.58 degrees
Space group P-1 (No. 2)
Unique sites:
U1 0.224 0.280 0.002 x2
Cu1 0.500 0.000 0.500 x1
Ir1 0.000 0.500 0.500 x1

Calculated values
**ΔH_f (0 K)**: -0.072 eV per atom
**Density of states at the Fermi level**: 8.40 states/eV/f.u.

- The highest density of states at the Fermi level belongs to which entry?
  U2CuIr

- What is the density of states at the Fermi level in the third record?
  8.40 states/eV/f.u.

- The highest density of states at the Fermi level belongs to which entry?
  U2CuIr